Below is Pr2Al4SnAu3 after structural relaxation, with properties calculated at the PBE-GGA level.

Properties
ρ ... 8.6 g/cm3
E_form ... -676 meV/atom
Spin magnetization ... 0.00 μB/cell
Final energy ... -4.512 eV/atom

Cell: 4.442 4.442 10.809 Å, 90.00 90.00 90.00°
Fractional positions:
Pr  0.000  0.500  0.244
Pr  0.500  0.000  0.756
Al  0.000  0.000  0.000
Al  0.000  0.500  0.648
Al  0.500  0.000  0.352
Al  0.500  0.500  0.000
Sn  0.000  0.000  0.500
Au  0.000  0.500  0.876
Au  0.500  0.000  0.124
Au  0.500  0.500  0.500

Below is Na3CaBi2Se6 after structural relaxation, with properties calculated at the PBE-GGA level.

Properties
ρ ... 5.1 g/cm3
Spin magnetization ... 0.00 μB/cell
Formation energy from raw total energies ... -0.929 eV per atom
Final energy ... -3.815 eV/atom

Cell: 7.273 7.273 7.514 Å, 99.29 99.29 120.01°
Fractional positions:
Na  0.000  0.000  0.000
Na  0.328  0.672  0.000
Na  0.672  0.328  0.000
Ca  0.500  0.500  0.500
Bi  0.166  0.834  0.500
Bi  0.834  0.166  0.500
Se  0.084  0.422  0.265
Se  0.242  0.242  0.740
Se  0.422  0.084  0.265
Se  0.578  0.916  0.735
Se  0.758  0.758  0.260
Se  0.916  0.578  0.735

Below is P3PbS after structural relaxation, with properties calculated at the PBE-GGA level.

Properties
ρ ... 5.5 g/cm3
Spin magnetization ... 0.00 μB/cell
Formation energy from raw total energies ... 0.710 eV per atom
Final energy ... -4.103 eV/atom
Energy above the most stable polymorph in this dataset ... 0 meV per atom

Cell: 4.659 4.659 4.659 Å, 90.00 90.00 90.00°
Fractional positions:
P  0.000  0.000  0.500
P  0.000  0.500  0.000
P  0.500  0.000  0.000
Pb  0.500  0.500  0.500
S  0.000  0.000  0.000

Below is La2Sn2Pt15 after structural relaxation, with properties calculated at the PBE-GGA level.

Properties
ρ ... 16.3 g/cm3
E_form ... -537 meV/atom
Spin magnetization ... 0.00 μB/cell
Final energy ... -6.246 eV/atom

Cell: 7.088 7.088 7.088 Å, 83.95 83.95 83.95°
Fractional positions:
La  0.148  0.148  0.148
La  0.852  0.852  0.852
Sn  0.396  0.396  0.396
Sn  0.604  0.604  0.604
Pt  0.000  0.500  0.500
Pt  0.161  0.161  0.668
Pt  0.161  0.668  0.161
Pt  0.174  0.500  0.826
Pt  0.174  0.826  0.500
Pt  0.332  0.839  0.839
Pt  0.500  0.000  0.500
Pt  0.500  0.174  0.826
Pt  0.500  0.500  0.000
Pt  0.500  0.826  0.174
Pt  0.668  0.161  0.161
Pt  0.826  0.174  0.500
Pt  0.826  0.500  0.174
Pt  0.839  0.332  0.839
Pt  0.839  0.839  0.332

Below is MnHgI3 after structural relaxation, with properties calculated at the PBE-GGA level.

Properties
ρ ... 5.8 g/cm3
Spin magnetization ... 8.27 μB/cell
Formation energy from raw total energies ... -0.239 eV per atom
Final energy ... -3.063 eV/atom
Energy above the most stable polymorph in this dataset ... 108 meV per atom

Cell: 8.731 8.731 8.731 Å, 50.61 50.61 50.61°
Fractional positions:
Mn  0.166  0.166  0.166
Mn  0.834  0.834  0.834
Hg  0.353  0.353  0.353
Hg  0.647  0.647  0.647
I  0.058  0.430  0.797
I  0.203  0.942  0.570
I  0.430  0.797  0.058
I  0.570  0.203  0.942
I  0.797  0.058  0.430
I  0.942  0.570  0.203

Below is KW7 after structural relaxation, with properties calculated at the PBE-GGA level.

Properties
ρ ... 15.9 g/cm3
E_form ... 1354 meV/atom
Spin magnetization ... 0.00 μB/cell
Final energy ... -10.117 eV/atom

Cell: 5.807 5.807 5.807 Å, 60.00 60.00 60.00°
Fractional positions:
K  0.000  0.000  0.000
W  0.000  0.000  0.500
W  0.000  0.500  0.000
W  0.000  0.500  0.500
W  0.500  0.000  0.000
W  0.500  0.000  0.500
W  0.500  0.500  0.000
W  0.500  0.500  0.500

Below is As2Rh3 after structural relaxation, with properties calculated at the PBE-GGA level.

Properties
ρ ... 9.5 g/cm3
E_form ... -321 meV/atom
Spin magnetization ... 0.01 μB/cell
Final energy ... -6.591 eV/atom

Cell: 4.067 4.067 5.593 Å, 90.00 90.00 120.00°
Fractional positions:
As  0.333  0.667  0.279
As  0.667  0.333  0.721
Rh  0.000  0.000  0.500
Rh  0.333  0.667  0.835
Rh  0.667  0.333  0.165

Below is Zn2Ga5Ag12 after structural relaxation, with properties calculated at the PBE-GGA level.

Properties
ρ ... 8.8 g/cm3
E_form ... 14 meV/atom
Spin magnetization ... 0.00 μB/cell
Final energy ... -2.717 eV/atom
Energy above the most stable polymorph in this dataset ... 0 meV per atom

Cell: 8.563 8.563 5.165 Å, 102.07 102.07 66.04°
Fractional positions:
Zn  0.245  0.755  0.000
Zn  0.755  0.245  0.000
Ga  0.000  0.000  0.500
Ga  0.216  0.216  0.522
Ga  0.337  0.337  0.130
Ga  0.663  0.663  0.870
Ga  0.784  0.784  0.478
Ag  0.070  0.537  0.793
Ag  0.114  0.114  0.996
Ag  0.148  0.653  0.375
Ag  0.347  0.852  0.625
Ag  0.446  0.446  0.712
Ag  0.463  0.930  0.207
Ag  0.537  0.070  0.793
Ag  0.554  0.554  0.288
Ag  0.653  0.148  0.375
Ag  0.852  0.347  0.625
Ag  0.886  0.886  0.004
Ag  0.930  0.463  0.207